# 1
{"formula": "Pr8Tl2Zn", "functional": "PBE", "state": "relaxed", "lattice_angstrom": [[5.286, 0.000, -1.513], [-0.116, 6.903, -0.404], [-0.061, 0.126, 9.777]], "species": ["Pr", "Pr", "Pr", "Pr", "Pr", "Pr", "Pr", "Pr", "Tl", "Tl", "Zn"], "fractional_positions": [[0.590, 0.408, 0.179], [0.664, 0.910, 0.329], [0.790, 0.396, 0.580], [0.210, 0.604, 0.420], [0.972, 0.231, 0.943], [0.410, 0.592, 0.821], [0.336, 0.090, 0.671], [0.028, 0.769, 0.057], [0.158, 0.153, 0.315], [0.842, 0.847, 0.685], [0.500, 0.000, 0.000]], "energy_ev_per_cell": -46.3, "polymorph_energy_mev_per_atom": 0}


# 2
{"formula": "Pr4Tl3Zn", "functional": "PBE", "state": "relaxed", "lattice_angstrom": [[-0.007, 2.566, 3.696], [-2.660, -3.111, 2.155], [9.728, -5.607, 3.910]], "species": ["Pr", "Pr", "Pr", "Pr", "Tl", "Tl", "Tl", "Zn"], "fractional_positions": [[0.000, 0.000, 0.138], [0.500, 0.000, 0.643], [0.500, 0.500, 0.348], [0.000, 0.500, 0.870], [0.000, 0.500, 0.589], [0.000, 0.000, 0.414], [0.500, 0.000, 0.921], [0.500, 0.500, 0.077]], "energy_ev_per_cell": -29.9, "polymorph_energy_mev_per_atom": 78}


# 3
{"formula": "Pr4TlZn2", "functional": "PBE", "state": "relaxed", "lattice_angstrom": [[-3.672, -1.059, -3.540], [-0.513, -4.841, -1.852], [-7.407, -3.941, 5.030]], "species": ["Pr", "Pr", "Pr", "Pr", "Zn", "Zn", "Tl"], "fractional_positions": [[0.618, 0.618, 0.145], [0.205, 0.205, 0.386], [0.382, 0.382, 0.855], [0.795, 0.795, 0.614], [0.098, 0.098, 0.707], [0.902, 0.902, 0.293], [0.000, 0.000, 0.000]], "energy_ev_per_cell": -24.6, "polymorph_energy_mev_per_atom": 110}


Number 1: total magnetization 0.0 μB per formula unit. Number 2: total magnetization 0.6 μB per formula unit. Number 3: total magnetization 0.0 μB per formula unit.